Model one:
Compound: CsUGa
Source: the Open Quantum Materials Database
Functional: PBE
Structure: optimized geometry

Cell lengths 5.4489, 5.4489, 5.4489 Å; angles 60.00, 60.00, 60.00 degrees
Closest atoms and distances in Å follow each position.
Fractional positions:
Ga1 0.0000 0.0000 0.0000  4 U 3.34, 4 Cs 3.34
Cs1 0.2500 0.2500 0.2500  4 Ga 3.34
U1 0.7500 0.7500 0.7500  4 Ga 3.34

Symmetry   No. 216
V   38.13 Å³/atom
ρ   6.40 g/cm³
Crystal system   cubic

Model two:
Compound: CsUGa
Source: the Open Quantum Materials Database
Functional: PBE
Structure: optimized geometry

Cell lengths 5.1168, 5.1168, 5.1168 Å; angles 60.00, 60.00, 60.00 degrees
Closest atoms and distances in Å follow each position.
Fractional positions:
Cs1 0.0000 0.0000 0.0000  4 U 3.13, 4 Ga 3.13
U1 0.7500 0.7500 0.7500  4 Cs 3.13
Ga1 0.2500 0.2500 0.2500  4 Cs 3.13

Symmetry   No. 216
V   31.58 Å³/atom
ρ   7.72 g/cm³
Crystal system   cubic

model one comes first in stability; the runner-up is 321 meV per atom higher.

Model one:
Compound: CsGdNiS3
Source: the Open Quantum Materials Database
Functional: PBE
Structure: optimized geometry

Cell lengths 11.6593, 4.1804, 12.2280 Å; angles 90.00, 90.00, 90.00 degrees
Closest atoms and distances in Å follow each position.
Fractional positions:
S1 0.2857 0.0000 0.7484  2 Ni 2.23
S2 0.2143 0.5000 0.2484  2 Ni 2.23
Cs1 0.1552 0.0000 0.0210  8 S 3.47-3.71, 3 Ni 3.56-3.64
S3 0.7143 0.5000 0.2516  2 Ni 2.23
S4 0.3820 0.5000 0.9537  1 Ni 2.29
S5 0.4292 0.0000 0.2837  1 Ni 2.23
Ni1 0.7399 0.0000 0.1929  4 S 2.23-2.29
S6 0.5708 0.5000 0.7163  1 Ni 2.23
Ni2 0.2399 0.0000 0.3071  4 S 2.23-2.29
Cs2 0.6552 0.0000 0.4790  8 S 3.47-3.71, 3 Ni 3.56-3.64
S7 0.7857 0.0000 0.7516  2 Ni 2.23
Ni3 0.7601 0.5000 0.6929  4 S 2.23-2.29
Ni4 0.2601 0.5000 0.8071  4 S 2.23-2.29
Gd1 0.9987 0.0000 0.6508  6 S 2.77-2.80
Gd2 0.5013 0.5000 0.1508  6 S 2.77-2.80
S8 0.8820 0.5000 0.5463  1 Ni 2.29
Cs3 0.8448 0.5000 0.9790  8 S 3.47-3.71, 3 Ni 3.56-3.64
Cs4 0.3448 0.5000 0.5210  8 S 3.47-3.71, 3 Ni 3.56-3.64
Gd3 0.0013 0.5000 0.3492  6 S 2.77-2.80
S9 0.1180 0.0000 0.4537  1 Ni 2.29
Gd4 0.4987 0.0000 0.8492  6 S 2.77-2.80
S10 0.6180 0.0000 0.0463  1 Ni 2.29
S11 0.0708 0.5000 0.7837  1 Ni 2.23
S12 0.9292 0.0000 0.2163  1 Ni 2.23

Symmetry   No. 62
V   24.83 Å³/atom
ρ   4.96 g/cm³
Crystal system   orthorhombic

Model two:
Compound: CsGdNiS3
Source: the Open Quantum Materials Database
Functional: PBE
Structure: optimized geometry

Cell lengths 9.4124, 3.9785, 9.6330 Å; angles 90.00, 111.02, 90.00 degrees
Closest atoms and distances in Å follow each position.
Fractional positions:
Cs1 0.2124 0.2500 0.7456  7 S 3.50-3.67
S1 0.1665 0.7500 0.0475  3 Ni 2.21-2.28
S2 0.5247 0.2500 0.3397  3 Gd 2.72-2.77
Ni1 0.0761 0.2500 0.0978  4 S 2.21-2.29
S3 0.1215 0.2500 0.3474  1 Ni 2.29
Gd1 0.6712 0.2500 0.6397  6 S 2.72-2.85
S4 0.8335 0.2500 0.9525  3 Ni 2.21-2.28
S5 0.4753 0.7500 0.6603  3 Gd 2.72-2.77
Ni2 0.9239 0.7500 0.9022  4 S 2.21-2.29
Cs2 0.7876 0.7500 0.2544  7 S 3.50-3.67
Gd2 0.3288 0.7500 0.3603  6 S 2.72-2.85
S6 0.8785 0.7500 0.6526  1 Ni 2.29

Symmetry   No. 11
V   28.06 Å³/atom
ρ   4.39 g/cm³
Crystal system   monoclinic

Model three:
Compound: CsGdNiS3
Source: the Open Quantum Materials Database
Functional: PBE
Structure: optimized geometry

Cell lengths 7.9293, 7.9293, 10.5802 Å; angles 90.00, 90.00, 29.25 degrees
Closest atoms and distances in Å follow each position.
Fractional positions:
Gd1 0.0000 0.0000 0.5000  6 S 2.74-2.76
Ni1 0.5321 0.5321 0.7500  4 S 2.27-2.33
S1 0.6133 0.6133 0.5710  1 Ni 2.27
S2 0.3867 0.3867 0.4290  1 Ni 2.27
S3 0.9539 0.9539 0.7500  2 Ni 2.33
Cs1 0.2584 0.2584 0.7500  8 S 3.54-3.93
Cs2 0.7416 0.7416 0.2500  8 S 3.54-3.93
S4 0.6133 0.6133 0.9290  1 Ni 2.27
S5 0.0461 0.0461 0.2500  2 Ni 2.33
Gd2 0.0000 0.0000 0.0000  6 S 2.74-2.76
Ni2 0.4679 0.4679 0.2500  4 S 2.27-2.33
S6 0.3867 0.3867 0.0710  1 Ni 2.27

Symmetry   No. 63
V   27.08 Å³/atom
ρ   4.55 g/cm³
Crystal system   orthorhombic

model two comes first in stability; the runner-up is 16 meV per atom higher.

Model one:
Compound: CsGdPO
Source: the Open Quantum Materials Database
Functional: PBE
Structure: optimized geometry

Cell lengths 4.5258, 4.5258, 9.8394 Å; angles 90.00, 90.00, 90.00 degrees
Closest atoms and distances in Å follow each position.
Fractional positions:
O1 0.5000 0.5000 0.0000  4 Gd 2.36
Cs1 0.0000 0.0000 0.5000  4 Cs 3.20, 4 P 3.40
Gd1 0.0000 0.5000 0.0679  4 O 2.36
Gd2 0.5000 0.0000 0.9321  4 O 2.36
P1 0.0000 0.5000 0.7581  1 Gd 3.05, 4 O 3.28, 4 Cs 3.40
Cs2 0.5000 0.5000 0.5000  4 Cs 3.20, 4 P 3.40
O2 0.0000 0.0000 0.0000  4 Gd 2.36
P2 0.5000 0.0000 0.2419  1 Gd 3.05, 4 O 3.28, 4 Cs 3.40

Symmetry   No. 129
V   25.19 Å³/atom
ρ   5.56 g/cm³
Crystal system   tetragonal

Model two:
Compound: CsGdPO
Source: the Open Quantum Materials Database
Functional: PBE
Structure: optimized geometry

Cell lengths 3.5586, 8.0790, 8.5547 Å; angles 90.00, 90.00, 90.00 degrees
Closest atoms and distances in Å follow each position.
Fractional positions:
P1 0.5000 0.6248 0.7952  2 Gd 2.78
O1 0.0000 0.7976 0.4162  2 Gd 2.14
Cs1 0.0000 0.1284 0.5699  2 O 2.98-3.02
P2 0.5000 0.3752 0.2952  2 Gd 2.78
Gd1 0.5000 0.3366 0.9728  2 O 2.14
Gd2 0.5000 0.6634 0.4728  2 O 2.14
O2 0.0000 0.2024 0.9162  2 Gd 2.14
Cs2 0.0000 0.8716 0.0699  2 O 2.98-3.02

Symmetry   No. 26
V   30.74 Å³/atom
ρ   4.55 g/cm³
Crystal system   orthorhombic

model two comes first in stability; the runner-up is 287 meV per atom higher.

Model one:
Compound: CsGdSeO
Source: the Open Quantum Materials Database
Functional: PBE
Structure: optimized geometry

Cell lengths 4.6065, 8.8194, 7.0006 Å; angles 90.00, 90.00, 90.00 degrees
Closest atoms and distances in Å follow each position.
Fractional positions:
Se1 0.0000 0.2887 0.6087  2 Gd 2.81
Cs1 0.0000 0.6958 0.6037  2 O 3.24, 3 Se 3.47-3.59
O1 0.5000 0.9310 0.7384  2 Gd 2.13-2.15
Cs2 0.0000 0.3042 0.1037  2 O 3.24, 3 Se 3.47-3.59
Se2 0.0000 0.7113 0.1087  2 Gd 2.81
O2 0.5000 0.0690 0.2384  2 Gd 2.13-2.15
Gd1 0.5000 0.8854 0.0401  2 O 2.13-2.15
Gd2 0.5000 0.1146 0.5401  2 O 2.13-2.15

Symmetry   No. 26
V   35.55 Å³/atom
ρ   4.50 g/cm³
Crystal system   orthorhombic

Model two:
Compound: CsGdSeO
Source: the Open Quantum Materials Database
Functional: PBE
Structure: optimized geometry

Cell lengths 4.5016, 4.5016, 10.0458 Å; angles 90.00, 90.00, 90.00 degrees
Closest atoms and distances in Å follow each position.
Fractional positions:
Cs1 0.2500 0.7500 0.5000  4 Cs 3.18, 4 Se 3.39
Gd1 0.7500 0.7500 0.9289  4 O 2.36
O1 0.7500 0.2500 0.0000  4 Gd 2.36
O2 0.2500 0.7500 0.0000  4 Gd 2.36
Se1 0.7500 0.7500 0.2481  1 Gd 3.21, 4 O 3.36, 4 Cs 3.39
Gd2 0.2500 0.2500 0.0711  4 O 2.36
Cs2 0.7500 0.2500 0.5000  4 Cs 3.18, 4 Se 3.39
Se2 0.2500 0.2500 0.7519  1 Gd 3.21, 4 O 3.36, 4 Cs 3.39

Symmetry   No. 129
V   25.45 Å³/atom
ρ   6.28 g/cm³
Crystal system   tetragonal

model one comes first in stability; the runner-up is 324 meV per atom higher.